Computed, not measured: an optimized crystal structure of HfCo2BO at the GGA+U level of DFT.

Cell and atoms, written as extended XYZ:
```
5
Lattice="-0.923 -2.894 -1.959 4.231 0.232 -2.336 1.491 -2.159 2.486" Properties=species:S:1:pos:R:3 pbc="T T T"
O 2.399 -2.410 -0.905
Hf 2.115 0.116 -1.168
Co -0.462 -1.447 -0.980
Co 0.745 -1.080 1.243
B 0.000 0.000 0.000
```

Values from the calculation:
E_tot ... -31.74 eV/cell
Mass density ... 8.49 g/cm³
Symmetry ... P4/mmm (123)
M_tot ... 2.69 μB/f.u.